Record 1
Below is crystalline NpBiB2O8 at its relaxed geometry, with properties calculated at the PBE-GGA level.

Cell and atoms, written as extended XYZ:
```
12
Lattice="5.0555 0.0000 0.0000 -2.5277 4.3782 0.0000 0.0000 0.0000 6.8782" Properties=species:S:1:pos:R:3 pbc="T T T"
Np 0.0000 0.0000 0.0000
Bi 0.0000 0.0000 3.4391
B 0.0000 2.9188 4.9680
B 2.5277 1.4594 1.9102
O 0.0000 1.5375 5.5339
O -1.1962 3.6094 5.5339
O 0.0000 2.9188 3.5590
O 1.3315 0.7687 1.3444
O 1.1962 3.6094 5.5339
O 2.5277 1.4594 3.3193
O 3.7240 0.7687 1.3444
O 2.5277 2.8407 1.3444
```

Computed properties:
space-group type = No. 164
energy relative to the elements, uncorrected = -187 kJ per mole of atoms
M_tot = 0.9 μB/f.u.
DFT total energy = -7.761 eV per atom

=====

Record 2
Below is crystalline Bi3B6O14 at its relaxed geometry, with properties calculated at the PBE-GGA level.

Cell and atoms, written as extended XYZ:
```
23
Lattice="6.6403 0.0000 0.0000 0.0748 6.6691 0.0000 0.1534 3.3204 5.8306" Properties=species:S:1:pos:R:3 pbc="T T T"
Bi 0.0000 0.0000 0.0000
Bi 1.9090 5.8966 3.4432
Bi 3.9689 3.1309 0.6612
B 0.9398 3.4683 0.9757
B 2.2684 2.8219 3.2099
B 3.2048 3.3295 5.6599
B 4.5170 8.4785 3.9872
B 5.7476 6.3184 3.5476
B 6.6720 1.7590 2.7254
O 0.0757 4.5632 0.6332
O 1.4344 8.3664 3.3147
O 1.8926 3.7770 2.1336
O 2.0273 6.3529 5.7213
O 2.1886 6.4843 0.9312
O 2.2752 3.6729 4.4513
O 3.5971 2.3005 2.9202
O 4.0154 8.7673 5.3147
O 4.0511 1.0280 0.1004
O 4.5643 6.8636 4.0298
O 5.7877 2.3017 3.7593
O 6.3601 6.9819 2.4627
O 6.4643 5.3123 4.0870
O 6.6495 2.3697 1.3954
```

Computed properties:
space-group type = No. 1
energy relative to the elements, uncorrected = -188 kJ per mole of atoms
M_tot = 1.0 μB/f.u.
DFT total energy = -7.212 eV per atom

=====

Record 3
Below is crystalline Bi2B8O15 at its relaxed geometry, with properties calculated at the PBE-GGA level.

Cell and atoms, written as extended XYZ:
```
50
Lattice="4.3763 0.0000 0.0000 0.0000 23.0261 0.0000 -1.5675 0.0000 6.3718" Properties=species:S:1:pos:R:3 pbc="T T T"
Bi -0.3475 0.0000 2.4804
Bi 0.8906 3.0450 0.9099
Bi 1.9182 14.5581 5.4619
Bi 3.1563 11.5130 3.8914
B -0.8112 3.1488 3.6190
B -0.2941 7.2472 1.6639
B -1.2030 6.7116 5.8008
B -0.5601 5.6782 3.6057
B 0.6311 20.3678 0.1002
B 0.8388 11.3884 1.5639
B -0.2335 22.8571 6.1854
B 1.4468 14.5832 1.3853
B 1.3620 3.0701 4.9865
B 3.0423 11.3441 0.1864
B 1.9700 22.9014 4.8080
B 2.1777 8.8548 6.2716
B 3.3689 17.1912 2.7661
B 4.0117 18.2247 0.5710
B 3.1029 18.7603 4.7079
B 3.6200 14.6619 2.7529
O -0.4393 2.1729 2.5814
O -1.0100 22.9732 4.9297
O -0.4870 6.8955 2.9585
O -0.4872 4.4829 2.9804
O 0.1258 19.4335 1.0101
O -0.7980 19.9866 5.1363
O -0.7293 5.7309 4.9856
O 0.3673 6.4028 0.7846
O 1.0466 14.6657 0.0750
O 0.9633 21.5889 0.5564
O -0.0318 2.9609 4.8711
O 0.9855 0.8696 0.8086
O 0.6757 14.5970 2.5035
O 1.6104 11.3433 0.4412
O 1.2409 11.3679 2.8752
O 1.5679 22.8809 3.4967
O 1.1984 22.8564 5.9306
O 2.1331 3.0840 3.8683
O 1.8233 12.3826 5.5633
O 2.8406 14.4739 1.5008
O 1.8455 10.0759 5.8155
O 1.7622 3.1526 6.2968
O 2.4415 17.9159 5.5873
O 3.5381 17.2439 1.3862
O 3.6068 8.4735 1.2355
O 2.6830 7.9204 5.3617
O 3.2960 15.9960 3.3915
O 3.2958 18.4085 3.4133
O 3.8188 11.4601 1.4422
O 3.2481 13.6859 3.7904
```

Computed properties:
space-group type = No. 4
energy relative to the elements, uncorrected = -213 kJ per mole of atoms
M_tot = 0.0 μB/f.u.
DFT total energy = -7.631 eV per atom

=====

Record 4
Below is crystalline BiB3O at its relaxed geometry, with properties calculated at the PBE-GGA level.

Cell and atoms, written as extended XYZ:
```
5
Lattice="3.9438 0.0000 0.0000 0.0000 3.9438 0.0000 0.0000 0.0000 3.9438" Properties=species:S:1:pos:R:3 pbc="T T T"
Bi 0.0000 0.0000 0.0000
B 0.0000 1.9719 1.9719
B 1.9719 0.0000 1.9719
B 1.9719 1.9719 0.0000
O 1.9719 1.9719 1.9719
```

Computed properties:
space-group type = No. 221
energy relative to the elements, uncorrected = 168 kJ per mole of atoms
M_tot = 0.0 μB/f.u.
offset from the most stable computed form = 0 meV per atom
DFT total energy = -4.038 eV per atom

=====

Record 5
Below is crystalline BiB3O6 at its relaxed geometry, with properties calculated at the PBE-GGA level.

Cell and atoms, written as extended XYZ:
```
40
Lattice="4.3015 0.0000 0.0000 0.0000 11.8218 0.0000 -0.1362 0.0000 7.3326" Properties=species:S:1:pos:R:3 pbc="T T T"
Bi 0.6564 1.3467 2.7083
Bi 0.5883 4.5642 6.3746
Bi 3.5770 7.2576 0.9580
Bi 3.5089 10.4751 4.6243
B 0.7448 1.1046 6.3798
B 0.8130 4.8063 2.7135
B 1.2715 7.3863 3.1775
B 1.2034 10.3464 6.8439
B 1.2600 7.8358 5.8086
B 1.3282 9.8970 2.1423
B 2.8371 1.9249 5.1903
B 2.9052 3.9860 1.5240
B 2.9619 1.4754 0.4888
B 2.8938 4.4355 4.1551
B 3.3523 7.0156 4.6191
B 3.4204 10.7172 0.9528
O 0.5458 7.4212 4.5149
O 0.6139 10.3115 0.8486
O 0.7866 6.2472 2.3607
O 0.7185 11.4855 6.0270
O 0.8684 8.5200 2.3515
O 0.8003 9.2128 6.0178
O 0.8696 6.8762 6.8813
O 0.9377 10.8565 3.2150
O 1.3852 1.8858 5.3387
O 1.4533 4.0251 1.6724
O 1.5321 1.3738 0.3111
O 1.4640 4.5371 3.9774
O 2.7013 7.2847 3.3552
O 2.6332 10.4480 7.0215
O 2.7120 7.7967 5.6602
O 2.7801 9.9360 1.9939
O 3.2276 0.9653 4.1176
O 3.2957 4.9456 0.4513
O 3.3650 2.6091 1.3148
O 3.2968 3.3018 4.9811
O 3.4468 0.3363 1.3056
O 3.3787 5.5746 4.9719
O 3.5514 1.5103 6.4840
O 3.6195 4.4006 2.8177
```

Computed properties:
space-group type = No. 14
energy relative to the elements, uncorrected = -207 kJ per mole of atoms
M_tot = 0.0 μB/f.u.
offset from the most stable computed form = 17 meV per atom
DFT total energy = -7.508 eV per atom

=====

Record 6
Below is crystalline BiBO3 at its relaxed geometry, with properties calculated at the PBE-GGA level.

Cell and atoms, written as extended XYZ:
```
5
Lattice="4.1577 0.0000 0.0000 0.0000 4.1577 0.0000 0.0000 0.0000 4.1577" Properties=species:S:1:pos:R:3 pbc="T T T"
Bi 0.0000 0.0000 0.0000
B 2.0789 2.0789 2.0789
O 0.0000 0.0000 2.0789
O 0.0000 2.0789 0.0000
O 2.0789 0.0000 0.0000
```

Computed properties:
space-group type = No. 221
energy relative to the elements, uncorrected = 48 kJ per mole of atoms
M_tot = 0.0 μB/f.u.
DFT total energy = -4.586 eV per atom

=====

Record 7
Below is crystalline Bi3BO at its relaxed geometry, with properties calculated at the PBE-GGA level.

Cell and atoms, written as extended XYZ:
```
5
Lattice="4.9113 0.0000 0.0000 0.0000 4.9113 0.0000 0.0000 0.0000 4.9113" Properties=species:S:1:pos:R:3 pbc="T T T"
Bi 0.0000 0.0000 2.4557
Bi 0.0000 2.4557 0.0000
Bi 2.4557 0.0000 0.0000
B 2.4557 2.4557 2.4557
O 0.0000 0.0000 0.0000
```

Computed properties:
space-group type = No. 221
energy relative to the elements, uncorrected = 70 kJ per mole of atoms
M_tot = 0.0 μB/f.u.
offset from the most stable computed form = 0 meV per atom
DFT total energy = -3.930 eV per atom

=====

Record 8
Below is crystalline BiB3O at its relaxed geometry, with properties calculated at the PBE-GGA level.

Cell and atoms, written as extended XYZ:
```
5
Lattice="4.7513 0.0000 0.0000 0.0000 4.7513 0.0000 0.0000 0.0000 4.7513" Properties=species:S:1:pos:R:3 pbc="T T T"
Bi 0.0000 0.0000 0.0000
B 0.0000 0.0000 2.3757
B 0.0000 2.3757 0.0000
B 2.3757 0.0000 0.0000
O 2.3757 2.3757 2.3757
```

Computed properties:
space-group type = No. 221
energy relative to the elements, uncorrected = 277 kJ per mole of atoms
M_tot = 0.0 μB/f.u.
offset from the most stable computed form = 1131 meV per atom
DFT total energy = -2.907 eV per atom